Entry 1:
Here is a crystal of LaReOs relaxed with PBEsol from Alexandria. Energies are from SCAN.

The structure in POSCAR format:
```
LaReOs
1.0
4.116 0.000 0.000
-2.058 3.565 0.000
0.000 0.000 4.672
La Re Os
1 1 1
Direct
0.000 0.000 0.000 La
0.667 0.333 0.541 Re
0.333 0.667 0.458 Os
```

- Distance to the lowest polymorph of the same formula: 0 meV/atom
- Density of states at the Fermi level: 1.63 states/eV/f.u.
- Symmetry: P3m1 (156)
- Energy: -62.09 eV per atom
- Formation enthalpy at 0 K: -17 kJ/mol of formula units

Entry 2:
Here is a crystal of SrLa2ReOs relaxed with PBEsol from Alexandria. Energies are from SCAN.

The structure in POSCAR format:
```
SrLa2ReOs
1.0
5.346 0.000 0.000
0.000 5.346 0.000
0.000 0.000 4.624
Sr La Re Os
1 2 1 1
Direct
0.000 0.000 0.000 Sr
0.000 0.500 0.000 La
0.500 0.000 0.000 La
0.000 0.000 0.500 Re
0.500 0.500 0.500 Os
```

- Density of states at the Fermi level: 5.41 states/eV/f.u.
- Symmetry: P4/mmm (123)
- Energy: -47.87 eV per atom
- Formation enthalpy at 0 K: 1168 kJ/mol of formula units

Entry 3:
Here is a crystal of LaOsRh2 relaxed with PBEsol from Alexandria. Energies are from SCAN.

The structure in POSCAR format:
```
LaOsRh2
1.0
4.077 0.000 0.000
0.000 4.077 0.000
0.000 0.000 8.116
La Os Rh
2 2 4
Direct
0.000 0.000 0.000 La
0.500 0.500 0.500 La
0.000 0.500 0.250 Os
0.500 0.000 0.750 Os
0.000 0.000 0.500 Rh
0.000 0.500 0.750 Rh
0.500 0.000 0.250 Rh
0.500 0.500 0.000 Rh
```

- Distance to the lowest polymorph of the same formula: 105 meV/atom
- Density of states at the Fermi level: 3.84 states/eV/f.u.
- Symmetry: I-4m2 (119)
- Energy: -45.43 eV per atom
- Formation enthalpy at 0 K: 79 kJ/mol of formula units

Entry 4:
Here is a crystal of LaOsRh3 relaxed with PBEsol from Alexandria. Energies are from SCAN.

The structure in POSCAR format:
```
LaOsRh3
1.0
4.689 0.000 0.000
0.000 4.689 0.000
0.000 0.000 4.689
La Os Rh
1 1 3
Direct
0.000 0.000 0.000 La
0.500 0.500 0.500 Os
0.000 0.000 0.500 Rh
0.000 0.500 0.000 Rh
0.500 0.000 0.000 Rh
```

- Density of states at the Fermi level: 4.96 states/eV/f.u.
- Symmetry: Pm-3m (221)
- Energy: -41.33 eV per atom
- Formation enthalpy at 0 K: 929 kJ/mol of formula units

Entry 5:
Here is a crystal of LaOsRh2 relaxed with PBEsol from Alexandria. Energies are from SCAN.

The structure in POSCAR format:
```
LaOsRh2
1.0
2.849 0.000 0.000
0.000 2.849 0.000
0.000 0.000 8.260
La Os Rh
1 1 2
Direct
0.000 0.000 0.000 La
0.000 0.000 0.500 Os
0.500 0.500 0.293 Rh
0.500 0.500 0.707 Rh
```

- Distance to the lowest polymorph of the same formula: 0 meV/atom
- Density of states at the Fermi level: 3.65 states/eV/f.u.
- Symmetry: P4/mmm (123)
- Energy: -45.53 eV per atom
- Formation enthalpy at 0 K: 38 kJ/mol of formula units

Entry 6:
Here is a crystal of LaZn2OsRh relaxed with PBEsol from Alexandria. Energies are from SCAN.

The structure in POSCAR format:
```
LaZn2OsRh
1.0
4.641 0.000 0.000
0.000 4.641 0.000
0.000 0.000 5.068
La Zn Os Rh
1 2 1 1
Direct
0.000 0.000 0.000 La
0.000 0.500 0.500 Zn
0.500 0.000 0.500 Zn
0.500 0.500 0.000 Os
0.000 0.000 0.500 Rh
```

- Density of states at the Fermi level: 4.04 states/eV/f.u.
- Symmetry: P4/mmm (123)
- Energy: -34.47 eV per atom
- Formation enthalpy at 0 K: 334 kJ/mol of formula units

Entry 7:
Here is a crystal of LaZr2OsRh relaxed with PBEsol from Alexandria. Energies are from SCAN.

The structure in POSCAR format:
```
LaZr2OsRh
1.0
4.940 0.000 0.000
0.000 4.940 0.000
0.000 0.000 4.637
La Zr Os Rh
1 2 1 1
Direct
0.000 0.000 0.000 La
0.000 0.500 0.000 Zr
0.500 0.000 0.000 Zr
0.000 0.000 0.500 Os
0.500 0.500 0.500 Rh
```

- Density of states at the Fermi level: 5.54 states/eV/f.u.
- Symmetry: P4/mmm (123)
- Energy: -40.28 eV per atom
- Formation enthalpy at 0 K: 844 kJ/mol of formula units

Entry 8:
Here is a crystal of LaOsRu2 relaxed with PBEsol from Alexandria. Energies are from SCAN.

The structure in POSCAR format:
```
LaOsRu2
1.0
3.185 0.000 0.000
-1.592 2.758 0.000
0.000 0.000 24.893
La Os Ru
3 3 6
Direct
0.000 0.000 0.000 La
0.333 0.667 0.667 La
0.667 0.333 0.333 La
0.000 0.000 0.500 Os
0.333 0.667 0.167 Os
0.667 0.333 0.833 Os
0.000 0.000 0.235 Ru
0.000 0.000 0.765 Ru
0.333 0.667 0.432 Ru
0.333 0.667 0.902 Ru
0.667 0.333 0.098 Ru
0.667 0.333 0.568 Ru
```

- Distance to the lowest polymorph of the same formula: 369 meV/atom
- Density of states at the Fermi level: 5.00 states/eV/f.u.
- Symmetry: R-3m (166)
- Energy: -45.26 eV per atom
- Formation enthalpy at 0 K: 348 kJ/mol of formula units

Entry 9:
Here is a crystal of La2OsRu relaxed with PBEsol from Alexandria. Energies are from SCAN.

The structure in POSCAR format:
```
La2OsRu
1.0
4.431 0.000 0.000
0.000 4.495 0.000
0.000 0.000 10.116
La Os Ru
4 2 2
Direct
0.000 0.000 0.000 La
0.000 0.500 0.500 La
0.500 0.000 0.295 La
0.500 0.500 0.795 La
0.000 0.000 0.696 Os
0.000 0.500 0.196 Os
0.500 0.000 0.604 Ru
0.500 0.500 0.104 Ru
```

- Density of states at the Fermi level: 3.43 states/eV/f.u.
- Symmetry: Amm2 (38)
- Energy: -48.42 eV per atom
- Formation enthalpy at 0 K: -72 kJ/mol of formula units

Entry 10:
Here is a crystal of LaOsRu2 relaxed with PBEsol from Alexandria. Energies are from SCAN.

The structure in POSCAR format:
```
LaOsRu2
1.0
4.766 0.000 0.000
0.000 4.766 0.000
0.000 0.000 2.940
La Os Ru
1 1 2
Direct
0.000 0.000 0.000 La
0.500 0.500 0.000 Os
0.000 0.500 0.500 Ru
0.500 0.000 0.500 Ru
```

- Distance to the lowest polymorph of the same formula: 0 meV/atom
- Density of states at the Fermi level: 3.55 states/eV/f.u.
- Symmetry: P4/mmm (123)
- Energy: -45.63 eV per atom
- Formation enthalpy at 0 K: 205 kJ/mol of formula units

Entry 11:
Here is a crystal of LaOsRu relaxed with PBEsol from Alexandria. Energies are from SCAN.

The structure in POSCAR format:
```
LaOsRu
1.0
6.215 0.000 0.000
0.000 6.215 0.000
0.000 0.000 6.215
La Os Ru
4 4 4
Direct
0.000 0.000 0.000 La
0.000 0.500 0.500 La
0.500 0.000 0.500 La
0.500 0.500 0.000 La
0.250 0.250 0.750 Os
0.250 0.750 0.250 Os
0.750 0.250 0.250 Os
0.750 0.750 0.750 Os
0.250 0.250 0.250 Ru
0.250 0.750 0.750 Ru
0.750 0.250 0.750 Ru
0.750 0.750 0.250 Ru
```

- Distance to the lowest polymorph of the same formula: 673 meV/atom
- Density of states at the Fermi level: 4.01 states/eV/f.u.
- Symmetry: F-43m (216)
- Energy: -48.55 eV per atom
- Formation enthalpy at 0 K: 401 kJ/mol of formula units

Entry 12:
Here is a crystal of LaOsRu relaxed with PBEsol from Alexandria. Energies are from SCAN.

The structure in POSCAR format:
```
LaOsRu
1.0
2.854 0.000 0.000
-1.427 2.472 0.000
0.000 0.000 7.531
La Os Ru
1 1 1
Direct
0.000 0.000 0.000 La
0.333 0.667 0.629 Os
0.667 0.333 0.366 Ru
```

- Distance to the lowest polymorph of the same formula: 0 meV/atom
- Density of states at the Fermi level: 3.30 states/eV/f.u.
- Symmetry: P3m1 (156)
- Energy: -49.23 eV per atom
- Formation enthalpy at 0 K: 206 kJ/mol of formula units

Entry 13:
Here is a crystal of La2SbOs relaxed with PBEsol from Alexandria. Energies are from SCAN.

The structure in POSCAR format:
```
La2SbOs
1.0
3.493 0.000 0.000
0.000 4.887 0.000
0.000 0.000 12.076
La Sb Os
4 2 2
Direct
0.000 0.000 0.000 La
0.000 0.500 0.208 La
0.500 0.000 0.708 La
0.500 0.500 0.500 La
0.000 0.000 0.393 Sb
0.500 0.500 0.893 Sb
0.000 0.500 0.716 Os
0.500 0.000 0.216 Os
```

- E_form (uncorrected): -0.500 eV per atom
- Density of states at the Fermi level: 1.92 states/eV/f.u.
- Symmetry: Imm2 (44)
- Energy: -49.34 eV per atom

Entry 14:
Here is a crystal of La3SbOs relaxed with PBEsol from Alexandria. Energies are from SCAN.

The structure in POSCAR format:
```
La3SbOs
1.0
5.434 0.000 0.000
0.000 5.434 0.000
0.000 0.000 5.434
La Sb Os
3 1 1
Direct
0.000 0.000 0.500 La
0.000 0.500 0.000 La
0.500 0.000 0.000 La
0.500 0.500 0.500 Sb
0.000 0.000 0.000 Os
```

- E_form (uncorrected): -0.593 eV per atom
- Density of states at the Fermi level: 4.19 states/eV/f.u.
- Symmetry: Pm-3m (221)
- Energy: -48.28 eV per atom

Entry 15:
Here is a crystal of LaSb12Os4 relaxed with PBEsol from Alexandria. Energies are from SCAN.

The structure in POSCAR format:
```
LaSb12Os4
1.0
-4.652 4.652 4.652
4.652 -4.652 4.652
4.652 4.652 -4.652
La Sb Os
1 12 4
Direct
0.000 0.000 0.000 La
0.158 0.340 0.498 Sb
0.158 0.660 0.817 Sb
0.183 0.842 0.340 Sb
0.340 0.183 0.842 Sb
0.340 0.498 0.158 Sb
0.498 0.158 0.340 Sb
0.502 0.842 0.660 Sb
0.660 0.502 0.842 Sb
0.660 0.817 0.158 Sb
0.817 0.158 0.660 Sb
0.842 0.340 0.183 Sb
0.842 0.660 0.502 Sb
0.000 0.000 0.500 Os
0.000 0.500 0.000 Os
0.500 0.000 0.000 Os
0.500 0.500 0.500 Os
```

- E_form (uncorrected): -0.307 eV per atom
- Density of states at the Fermi level: 11.93 states/eV/f.u.
- Symmetry: Im-3 (204)
- Energy: -46.06 eV per atom

Entry 16:
Here is a crystal of LaSc2Os relaxed with PBEsol from Alexandria. Energies are from SCAN.

The structure in POSCAR format:
```
LaSc2Os
1.0
6.924 0.000 0.000
0.000 6.924 0.000
0.000 0.000 6.924
La Sc Os
4 8 4
Direct
0.000 0.000 0.000 La
0.000 0.500 0.500 La
0.500 0.000 0.500 La
0.500 0.500 0.000 La
0.000 0.000 0.500 Sc
0.000 0.500 0.000 Sc
0.250 0.250 0.250 Sc
0.250 0.750 0.750 Sc
0.500 0.000 0.000 Sc
0.500 0.500 0.500 Sc
0.750 0.250 0.750 Sc
0.750 0.750 0.250 Sc
0.250 0.250 0.750 Os
0.250 0.750 0.250 Os
0.750 0.250 0.250 Os
0.750 0.750 0.750 Os
```

- Distance to the lowest polymorph of the same formula: 356 meV/atom
- Density of states at the Fermi level: 3.91 states/eV/f.u.
- Symmetry: F-43m (216)
- Energy: -35.87 eV per atom
- Formation enthalpy at 0 K: -3 kJ/mol of formula units

Entry 17:
Here is a crystal of LaSc2Os2 relaxed with PBEsol from Alexandria. Energies are from SCAN.

The structure in POSCAR format:
```
LaSc2Os2
1.0
4.648 0.000 0.000
0.000 4.648 0.000
0.000 0.000 10.027
La Sc Os
2 4 4
Direct
0.000 0.000 0.000 La
0.500 0.500 0.500 La
0.000 0.000 0.355 Sc
0.000 0.000 0.645 Sc
0.500 0.500 0.145 Sc
0.500 0.500 0.855 Sc
0.000 0.500 0.250 Os
0.000 0.500 0.750 Os
0.500 0.000 0.250 Os
0.500 0.000 0.750 Os
```

- Density of states at the Fermi level: 2.05 states/eV/f.u.
- Symmetry: I4/mmm (139)
- Energy: -43.03 eV per atom
- Formation enthalpy at 0 K: 17 kJ/mol of formula units

Entry 18:
Here is a crystal of La2ScOs relaxed with PBEsol from Alexandria. Energies are from SCAN.

The structure in POSCAR format:
```
La2ScOs
1.0
5.055 0.000 0.000
0.000 5.055 0.000
0.000 0.000 3.720
La Sc Os
2 1 1
Direct
0.000 0.500 0.000 La
0.500 0.000 0.000 La
0.000 0.000 0.500 Sc
0.500 0.500 0.500 Os
```

- Distance to the lowest polymorph of the same formula: 288 meV/atom
- Density of states at the Fermi level: 3.38 states/eV/f.u.
- Symmetry: P4/mmm (123)
- Energy: -42.92 eV per atom
- Formation enthalpy at 0 K: 63 kJ/mol of formula units

Entry 19:
Here is a crystal of LaSc2Os relaxed with PBEsol from Alexandria. Energies are from SCAN.

The structure in POSCAR format:
```
LaSc2Os
1.0
6.845 0.000 0.000
0.000 6.845 0.000
0.000 0.000 6.845
La Sc Os
4 8 4
Direct
0.000 0.000 0.000 La
0.000 0.500 0.500 La
0.500 0.000 0.500 La
0.500 0.500 0.000 La
0.250 0.250 0.250 Sc
0.250 0.250 0.750 Sc
0.250 0.750 0.250 Sc
0.250 0.750 0.750 Sc
0.750 0.250 0.250 Sc
0.750 0.250 0.750 Sc
0.750 0.750 0.250 Sc
0.750 0.750 0.750 Sc
0.000 0.000 0.500 Os
0.000 0.500 0.000 Os
0.500 0.000 0.000 Os
0.500 0.500 0.500 Os
```

- Distance to the lowest polymorph of the same formula: 335 meV/atom
- Density of states at the Fermi level: 4.95 states/eV/f.u.
- Symmetry: Fm-3m (225)
- Energy: -35.89 eV per atom
- Formation enthalpy at 0 K: -11 kJ/mol of formula units

Entry 20:
Here is a crystal of La2ScOs relaxed with PBEsol from Alexandria. Energies are from SCAN.

The structure in POSCAR format:
```
La2ScOs
1.0
3.514 0.000 0.000
0.000 5.217 0.000
0.000 0.000 11.206
La Sc Os
4 2 2
Direct
0.000 0.000 0.000 La
0.000 0.500 0.199 La
0.500 0.000 0.699 La
0.500 0.500 0.500 La
0.000 0.000 0.388 Sc
0.500 0.500 0.888 Sc
0.000 0.500 0.714 Os
0.500 0.000 0.214 Os
```

- Distance to the lowest polymorph of the same formula: 0 meV/atom
- Density of states at the Fermi level: 3.62 states/eV/f.u.
- Symmetry: Imm2 (44)
- Energy: -43.21 eV per atom
- Formation enthalpy at 0 K: -48 kJ/mol of formula units